(1)
# Ag7Pd2Pt2 (PBE, relaxed)
# Fermi-level density of states, states/eV per cell: 5.72
# Distance to the lowest polymorph of the same formula, kJ/mol of atoms: 0.91
# Formation enthalpy at 0 K, meV/atom: 87
data_Ag7Pd2Pt2
_chemical_formula_sum 'Ag14 Pd4 Pt4'
_space_group_name_H-M_alt 'I m m m'
_space_group_IT_number 71
_space_group_name_Hall '-I 2 2'
_cell_length_a 4.6379
_cell_length_b 9.2353
_cell_length_c 9.2710
_cell_angle_alpha 90.00
_cell_angle_beta 90.00
_cell_angle_gamma 90.00
loop_
_atom_site_label
_atom_site_fract_x
_atom_site_fract_y
_atom_site_fract_z
_atom_site_occupancy
Ag1 0.0000 0.0000 0.0000 1
Ag2 0.0000 0.1635 0.2619 1
Ag3 0.0000 0.3424 0.0000 1
Pd1 0.0000 0.3397 0.5000 1
Pt1 0.0000 0.5000 0.2559 1

---

(2)
# Ag5Pd4Pt2 (PBE, relaxed)
# Fermi-level density of states, states/eV per cell: 22.03
# Distance to the lowest polymorph of the same formula, kJ/mol of atoms: 1.94
# Formation enthalpy at 0 K, meV/atom: 100
data_Ag5Pd4Pt2
_chemical_formula_sum 'Ag10 Pd8 Pt4'
_space_group_name_H-M_alt 'C 1 2/m 1'
_space_group_IT_number 12
_space_group_name_Hall '-C 2y'
_cell_length_a 19.4059
_cell_length_b 2.7541
_cell_length_c 7.0130
_cell_angle_alpha 90.00
_cell_angle_beta 94.18
_cell_angle_gamma 90.00
loop_
_atom_site_label
_atom_site_fract_x
_atom_site_fract_y
_atom_site_fract_z
_atom_site_occupancy
Ag1 0.0000 0.0000 0.0000 1
Ag2 0.1404 0.5000 0.1063 1
Ag3 0.2326 0.5000 0.8090 1
Pd1 0.0461 0.5000 0.3620 1
Pd2 0.1734 0.0000 0.4796 1
Pt1 0.0893 0.5000 0.7319 1

---

(3)
# AgPd3Pt2 (PBE, relaxed)
# Fermi-level density of states, states/eV per cell: 10.30
# Formation enthalpy at 0 K, meV/atom: -29
data_AgPd3Pt2
_chemical_formula_sum 'Ag1 Pd3 Pt2'
_space_group_name_H-M_alt 'P 4/m m m'
_space_group_IT_number 123
_space_group_name_Hall '-P 4 2'
_cell_length_a 2.8041
_cell_length_b 2.8041
_cell_length_c 12.0566
_cell_angle_alpha 90.00
_cell_angle_beta 90.00
_cell_angle_gamma 90.00
loop_
_atom_site_label
_atom_site_fract_x
_atom_site_fract_y
_atom_site_fract_z
_atom_site_occupancy
Ag1 0.0000 0.0000 0.0000 1
Pd1 0.5000 0.5000 0.1734 1
Pd2 0.5000 0.5000 0.5000 1
Pt1 0.0000 0.0000 0.3374 1

---

(4)
# Ag7Pd4Pt (PBE, relaxed)
# Fermi-level density of states, states/eV per cell: 10.63
# Distance to the lowest polymorph of the same formula, kJ/mol of atoms: 29.99
# Formation enthalpy at 0 K, meV/atom: 294
data_Ag7Pd4Pt
_chemical_formula_sum 'Ag14 Pd8 Pt2'
_space_group_name_H-M_alt 'C 1 2/m 1'
_space_group_IT_number 12
_space_group_name_Hall '-C 2y'
_cell_length_a 10.1808
_cell_length_b 5.0126
_cell_length_c 10.0068
_cell_angle_alpha 90.00
_cell_angle_beta 119.44
_cell_angle_gamma 90.00
loop_
_atom_site_label
_atom_site_fract_x
_atom_site_fract_y
_atom_site_fract_z
_atom_site_occupancy
Ag1 0.0000 0.0000 0.0000 1
Ag2 0.1103 0.5000 0.4521 1
Ag3 0.1574 0.0000 0.6194 1
Ag4 0.2103 0.0000 0.9143 1
Pd1 0.0918 0.0000 0.3097 1
Pd2 0.1849 0.5000 0.7737 1
Pt1 0.0000 0.5000 0.0000 1

---

(5)
# Ag8Pd2Pt (PBE, relaxed)
# Fermi-level density of states, states/eV per cell: 7.01
# Distance to the lowest polymorph of the same formula, kJ/mol of atoms: 0.00
# Formation enthalpy at 0 K, meV/atom: 66
data_Ag8Pd2Pt
_chemical_formula_sum 'Ag16 Pd4 Pt2'
_space_group_name_H-M_alt 'C 1 2/m 1'
_space_group_IT_number 12
_space_group_name_Hall '-C 2y'
_cell_length_a 13.2595
_cell_length_b 7.0890
_cell_length_c 4.4355
_cell_angle_alpha 90.00
_cell_angle_beta 109.22
_cell_angle_gamma 90.00
loop_
_atom_site_label
_atom_site_fract_x
_atom_site_fract_y
_atom_site_fract_z
_atom_site_occupancy
Ag1 0.0000 0.2040 0.0000 1
Ag2 0.1505 0.2145 0.6500 1
Ag3 0.1527 0.5000 0.1529 1
Pd1 0.1965 0.0000 0.1959 1
Pt1 0.0000 0.5000 0.5000 1

---

(6)
# Ag6Pd8Pt (PBE, relaxed)
# Fermi-level density of states, states/eV per cell: 44.19
# Distance to the lowest polymorph of the same formula, kJ/mol of atoms: 0.00
# Formation enthalpy at 0 K, meV/atom: 149
data_Ag6Pd8Pt
_chemical_formula_sum 'Ag18 Pd24 Pt3'
_space_group_name_H-M_alt 'R -3'
_space_group_IT_number 148
_space_group_name_Hall '-R 3'
_cell_length_a 7.3183
_cell_length_b 7.3183
_cell_length_c 17.0675
_cell_angle_alpha 90.00
_cell_angle_beta 90.00
_cell_angle_gamma 120.00
loop_
_atom_site_label
_atom_site_fract_x
_atom_site_fract_y
_atom_site_fract_z
_atom_site_occupancy
Ag1 0.0308 0.2431 0.3935 1
Pd1 0.0000 0.0000 0.2505 1
Pd2 0.0218 0.2424 0.8844 1
Pt1 0.0000 0.0000 0.0000 1

---

(7)
# Ag5Pd2Pt (PBE, relaxed)
# Fermi-level density of states, states/eV per cell: 7.37
# Distance to the lowest polymorph of the same formula, kJ/mol of atoms: 0.00
# Formation enthalpy at 0 K, meV/atom: -18
data_Ag5Pd2Pt
_chemical_formula_sum 'Ag10 Pd4 Pt2'
_space_group_name_H-M_alt 'P b a m'
_space_group_IT_number 55
_space_group_name_Hall '-P 2 2ab'
_cell_length_a 5.7656
_cell_length_b 11.5212
_cell_length_c 4.0565
_cell_angle_alpha 90.00
_cell_angle_beta 90.00
_cell_angle_gamma 90.00
loop_
_atom_site_label
_atom_site_fract_x
_atom_site_fract_y
_atom_site_fract_z
_atom_site_occupancy
Ag1 0.0000 0.0000 0.0000 1
Ag2 0.0031 0.2516 0.0000 1
Ag3 0.2476 0.8751 0.5000 1
Pd1 0.2426 0.6219 0.5000 1
Pt1 0.0000 0.5000 0.0000 1

---

(8)
# Ag3Pd4Pt (PBE, relaxed)
# Fermi-level density of states, states/eV per cell: 21.03
# Distance to the lowest polymorph of the same formula, kJ/mol of atoms: 17.10
# Formation enthalpy at 0 K, meV/atom: 167
data_Ag3Pd4Pt
_chemical_formula_sum 'Ag6 Pd8 Pt2'
_space_group_name_H-M_alt 'I m m 2'
_space_group_IT_number 44
_space_group_name_Hall 'I 2 -2'
_cell_length_a 5.4386
_cell_length_b 9.3468
_cell_length_c 5.3366
_cell_angle_alpha 90.00
_cell_angle_beta 90.00
_cell_angle_gamma 90.00
loop_
_atom_site_label
_atom_site_fract_x
_atom_site_fract_y
_atom_site_fract_z
_atom_site_occupancy
Ag1 0.0000 0.0000 0.0000 1
Ag2 0.0000 0.2528 0.7459 1
Pd1 0.0000 0.2520 0.2470 1
Pd2 0.2481 0.5000 0.9930 1
Pt1 0.0000 0.5000 0.4795 1

---

(9)
# AgPd6Pt (PBE, relaxed)
# Fermi-level density of states, states/eV per cell: 14.82
# Distance to the lowest polymorph of the same formula, kJ/mol of atoms: 0.00
# Formation enthalpy at 0 K, meV/atom: -9
data_AgPd6Pt
_chemical_formula_sum 'Ag1 Pd6 Pt1'
_space_group_name_H-M_alt 'P 4/m m m'
_space_group_IT_number 123
_space_group_name_Hall '-P 4 2'
_cell_length_a 3.9713
_cell_length_b 3.9713
_cell_length_c 7.9568
_cell_angle_alpha 90.00
_cell_angle_beta 90.00
_cell_angle_gamma 90.00
loop_
_atom_site_label
_atom_site_fract_x
_atom_site_fract_y
_atom_site_fract_z
_atom_site_occupancy
Ag1 0.0000 0.0000 0.0000 1
Pd1 0.0000 0.5000 0.2538 1
Pd2 0.5000 0.5000 0.0000 1
Pd3 0.5000 0.5000 0.5000 1
Pt1 0.0000 0.0000 0.5000 1

---

(10)
# Ag2Pd2Pt7 (PBE, relaxed)
# Fermi-level density of states, states/eV per cell: 29.33
# Formation enthalpy at 0 K, meV/atom: 167
data_Ag2Pd2Pt7
_chemical_formula_sum 'Ag4 Pd4 Pt14'
_space_group_name_H-M_alt 'C 1 2/m 1'
_space_group_IT_number 12
_space_group_name_Hall '-C 2y'
_cell_length_a 7.3606
_cell_length_b 7.7885
_cell_length_c 6.6486
_cell_angle_alpha 90.00
_cell_angle_beta 105.23
_cell_angle_gamma 90.00
loop_
_atom_site_label
_atom_site_fract_x
_atom_site_fract_y
_atom_site_fract_z
_atom_site_occupancy
Ag1 0.0000 0.1979 0.0000 1
Pd1 0.1682 0.5000 0.9401 1
Pt1 0.0000 0.5000 0.5000 1
Pt2 0.1155 0.0000 0.3591 1
Pt3 0.1832 0.2134 0.6820 1

---

(11)
# Ag3PdPt (PBE, relaxed)
# Fermi-level density of states, states/eV per cell: 11.06
# Distance to the lowest polymorph of the same formula, kJ/mol of atoms: 0.00
# Formation enthalpy at 0 K, meV/atom: 32
data_Ag3PdPt
_chemical_formula_sum 'Ag24 Pd8 Pt8'
_space_group_name_H-M_alt 'C 1 2/c 1'
_space_group_IT_number 15
_space_group_name_Hall '-C 2yc'
_cell_length_a 10.1221
_cell_length_b 9.5481
_cell_length_c 7.6239
_cell_angle_alpha 90.00
_cell_angle_beta 112.95
_cell_angle_gamma 90.00
loop_
_atom_site_label
_atom_site_fract_x
_atom_site_fract_y
_atom_site_fract_z
_atom_site_occupancy
Ag1 0.1024 0.1245 0.1526 1
Ag2 0.1989 0.1285 0.5516 1
Ag3 0.2011 0.3779 0.0494 1
Pd1 0.0000 0.1300 0.7500 1
Pd2 0.0000 0.3768 0.2500 1
Pt1 0.0922 0.3761 0.6467 1

---

(12)
# AgPd2Pt8 (PBE, relaxed)
# Fermi-level density of states, states/eV per cell: 25.66
# Formation enthalpy at 0 K, meV/atom: 85
data_AgPd2Pt8
_chemical_formula_sum 'Ag2 Pd4 Pt16'
_space_group_name_H-M_alt 'I m m m'
_space_group_IT_number 71
_space_group_name_Hall '-I 2 2'
_cell_length_a 3.9009
_cell_length_b 7.9121
_cell_length_c 11.7769
_cell_angle_alpha 90.00
_cell_angle_beta 90.00
_cell_angle_gamma 90.00
loop_
_atom_site_label
_atom_site_fract_x
_atom_site_fract_y
_atom_site_fract_z
_atom_site_occupancy
Ag1 0.0000 0.0000 0.0000 1
Pd1 0.0000 0.0000 0.3440 1
Pt1 0.0000 0.2430 0.5000 1
Pt2 0.0000 0.2550 0.1659 1
Pt3 0.0000 0.5000 0.3321 1

---

Q: Which of these has the highest Fermi-level density of states?
A: Ag6Pd8Pt

---

Q: The highest Fermi-level density of states belongs to which entry?
A: Ag6Pd8Pt

---

Please write out number 6 again, unchanged.
# Ag6Pd8Pt (PBE, relaxed)
# Fermi-level density of states, states/eV per cell: 44.19
# Distance to the lowest polymorph of the same formula, kJ/mol of atoms: 0.00
# Formation enthalpy at 0 K, meV/atom: 149
data_Ag6Pd8Pt
_chemical_formula_sum 'Ag18 Pd24 Pt3'
_space_group_name_H-M_alt 'R -3'
_space_group_IT_number 148
_space_group_name_Hall '-R 3'
_cell_length_a 7.3183
_cell_length_b 7.3183
_cell_length_c 17.0675
_cell_angle_alpha 90.00
_cell_angle_beta 90.00
_cell_angle_gamma 120.00
loop_
_atom_site_label
_atom_site_fract_x
_atom_site_fract_y
_atom_site_fract_z
_atom_site_occupancy
Ag1 0.0308 0.2431 0.3935 1
Pd1 0.0000 0.0000 0.2505 1
Pd2 0.0218 0.2424 0.8844 1
Pt1 0.0000 0.0000 0.0000 1